Entry 1:
Material: NdHo4Cu4
Method: DFT, PBE
State: relaxed

The symmetry is P4_2/n (86). The value obtained for the total magnetic moment is 0.00 μB/cell. Its formation enthalpy at 0 K is -0.3 eV per formula unit.

Geometry as extended XYZ:
```
18
Lattice="5.615 0.000 0.000 0.000 8.983 0.000 0.000 0.000 8.983" Properties=species:S:1:pos:R:3 pbc="T T T"
Nd 0.000 0.000 0.000
Nd 2.808 4.492 4.492
Ho 2.249 2.973 8.155
Ho 5.057 5.319 7.464
Ho 2.249 6.010 0.828
Ho 0.559 1.519 5.319
Ho 3.366 8.155 6.010
Ho 0.559 7.464 3.664
Ho 5.057 3.664 1.519
Ho 3.366 0.828 2.973
Cu 3.442 7.011 3.190
Cu 3.442 1.973 5.793
Cu 0.635 7.681 6.464
Cu 4.981 2.519 7.681
Cu 4.981 6.464 1.302
Cu 2.173 3.190 1.973
Cu 2.173 5.793 7.011
Cu 0.635 1.302 2.519
```



Entry 2:
Material: Rb4Sm3MnTe8
Method: DFT, PBE
State: relaxed

The symmetry is R-3m (166). The value obtained for the formation energy (no corrections) is -1130 meV per atom. The value obtained for the total magnetic moment is 4.03 μB/cell.

Geometry as extended XYZ:
```
16
Lattice="-3.545 7.180 4.214 -8.390 -5.186 1.778 7.747 -3.618 2.967" Properties=species:S:1:pos:R:3 pbc="T T T"
Rb -1.772 3.590 2.107
Rb 2.101 1.781 3.590
Rb 0.000 0.000 0.000
Rb 3.873 -1.809 1.483
Sm -5.968 0.997 2.996
Sm -2.094 -0.812 4.480
Sm -0.322 -4.402 2.372
Mn -4.195 -2.593 0.889
Te 0.940 -5.528 5.045
Te -3.177 -3.605 3.470
Te 0.696 -1.540 3.209
Te -0.944 -1.710 7.285
Te -3.244 0.086 1.674
Te -4.884 -0.084 5.751
Te -1.011 1.981 5.489
Te -5.129 3.904 3.915
```



Entry 3:
Material: Dy3Pd2Pt2
Method: DFT, PBE
State: relaxed

The symmetry is P-1 (2). The value obtained for the total magnetic moment is 0.00 μB/cell. Its formation enthalpy at 0 K is -6.8 eV per formula unit.

Geometry as extended XYZ:
```
7
Lattice="-1.221 4.000 -2.134 -2.349 -1.418 3.825 6.812 3.463 2.611" Properties=species:S:1:pos:R:3 pbc="T T T"
Dy 0.000 0.000 0.000
Dy 3.818 4.552 1.189
Dy -0.576 1.493 3.113
Pd 2.433 1.936 2.232
Pd 0.809 4.109 2.070
Pt -1.034 2.638 0.366
Pt 4.276 3.407 3.936
```



Entry 4:
Material: CaSiSe
Method: DFT, PBE
State: relaxed

Its relative energy among the computed polymorphs is 0.308 eV/atom. The symmetry is P3m1 (156). The value obtained for the formation energy (no corrections) is -218 meV per atom. The value obtained for the total magnetic moment is 0.00 μB/cell.

Geometry as extended XYZ:
```
3
Lattice="-3.631 -0.773 -0.196 2.461 -2.744 0.485 -0.462 0.648 6.006" Properties=species:S:1:pos:R:3 pbc="T T T"
Ca -0.005 0.007 0.064
Se -1.766 -1.198 2.183
Si 0.139 -1.678 4.048
```